Ac8BiTe4As3: relaxed, GGA-PBE.

```
Ac8BiTe4As3
1.0
9.3294 0.0000 0.0000
0.0000 9.4277 0.0629
-4.6647 -4.6603 6.6001
Te As Ac Bi
4 3 8 1
direct
0.0000 0.0000 0.5000
0.0000 0.0000 0.0000
0.5000 0.0000 0.5000
0.5000 0.0000 0.0000
0.5000 0.5000 0.0000
0.5000 0.5000 0.5000
0.0000 0.5000 0.5000
0.2691 0.2695 0.0193
0.7502 0.2696 0.5005
0.2590 0.2770 0.5180
0.2498 0.7304 0.4995
0.7502 0.2695 0.0193
0.7309 0.7305 0.9807
0.7410 0.7230 0.4820
0.2498 0.7305 0.9807
0.0000 0.5000 0.0000
```

Calculated values
**Space-group type**: R-3m, No. 166
**Final energy**: -86.86 eV for the cell shown
**Density of states at the Fermi level**: 0.415 states/eV per atom
**Total moment**: 0.00 μB per formula unit

=====

MgTiPd2: relaxed, GGA-PBE.

```
MgTiPd2
1.0
-4.4104 3.3877 -4.2969
-5.3936 -1.7621 4.1467
-4.5273 3.2117 1.4316
Ti Mg Pd
2 2 4
direct
0.7500 0.2500 0.5000
0.0000 0.0000 0.0000
0.5000 0.5000 0.0000
0.2500 0.7500 0.5000
0.3750 0.3555 0.7500
0.1055 0.6250 0.2500
0.8750 0.8945 0.7500
0.6445 0.1250 0.2500
```

Calculated values
**Space-group type**: I-42d, No. 122
**Final energy**: -41.37 eV for the cell shown
**Density of states at the Fermi level**: 0.509 states/eV per atom
**Total moment**: 0.00 μB per formula unit
**Formation energy**: -0.20 eV/atom

=====

MgNiTe2I: relaxed, GGA-PBE.

```
MgNiTe2I
1.0
5.1043 0.0000 0.0000
0.0000 5.1043 0.0000
0.0000 0.0000 5.3595
Ni Mg Te I
1 1 2 1
direct
0.0000 0.0000 0.0000
0.5000 0.5000 0.5000
0.0000 0.5000 0.0000
0.5000 0.0000 0.0000
0.0000 0.0000 0.5000
```

Calculated values
**Space-group type**: P4/mmm, No. 123
**Final energy**: -14.57 eV for the cell shown
**Density of states at the Fermi level**: 1.158 states/eV per atom
**Total moment**: 0.00 μB per formula unit
**E above lowest polymorph**: 0.0 meV per atom